1.
# Hg2H2Ru

An optimized crystal structure of Hg2H2Ru (PBE, Alexandria).

a b c (Å): 4.0594 4.0594 4.1405
angles (deg): 90.00 90.00 90.00
Space group P4/mmm (No. 123)
One atom of each set of equivalent atoms:
Hg (0.0000, 0.5000, 0.0000) x2
H (0.0000, 0.5000, 0.5000) x2
Ru (0.0000, 0.0000, 0.5000) x1

total DFT energy (no corrections) = -2.92 eV per atom
crystal system = tetragonal



2.
# Pm2Th2Rh3

An optimized crystal structure of Pm2Th2Rh3 (PBE, Alexandria).

a b c (Å): 4.0830 7.0154 7.1877
angles (deg): 81.14 89.95 73.10
Space group P-1 (No. 2)
One atom of each set of equivalent atoms:
Pm (0.1292, 0.2388, 0.3666) x2
Th (0.3693, 0.7598, 0.1046) x2
Rh (0.0000, 0.5000, 0.0000) x1
Rh (0.2418, 0.0190, 0.7480) x2

energy of formation from the pure elements = -0.7078 eV per atom
crystal system = triclinic



3.
# TbCeHo2Tm5

An optimized crystal structure of TbCeHo2Tm5 (PBE, Alexandria).

a b c (Å): 5.6215 21.2163 9.4785
angles (deg): 90.00 90.00 90.00
Space group Cmc2_1 (No. 36)
One atom of each set of equivalent atoms:
Tb (0.0000, 0.0967, 0.0000) x4
Ce (0.0000, 0.3065, 0.4052) x4
Ho (0.0000, 0.3650, 0.7203) x4
Ho (0.0000, 0.3870, 0.1044) x4
Tm (0.0000, 0.0286, 0.6811) x4
Tm (0.0000, 0.1057, 0.3843) x4
Tm (0.0000, 0.1929, 0.7108) x4
Tm (0.0000, 0.2338, 0.0920) x4
Tm (0.0000, 0.4860, 0.4120) x4

energy of formation from the pure elements = 0.1749 eV per atom
crystal system = orthorhombic